[1]
The following is a DFT calculation (PBE) of crystalline DyZrNi at its relaxed geometry.

Output
Density   8.19 g/cm3
Final energy   -6.48 eV/atom
Density of states at the Fermi level   1.338 states/eV per atom
Crystal system   tetragonal
E above lowest polymorph   47 meV per atom

abc: 6.1721 6.1721 6.1721
angles: 148.67 148.67 44.89
Last column: nearest neighbours and their distance in Å.
Sites, in units of the cell vectors:
Dy: 0.0000 0.0000 0.0000  4 Ni 3.06, 5 Zr 3.27-3.39, 4 Dy 3.33
Zr: 0.2864 0.2864 0.0000  4 Ni 2.70
Ni: 0.6704 0.6704 0.0000  4 Zr 2.70



[2]
The following is a DFT calculation (PBE) of crystalline Ca7Mn at its relaxed geometry.

Output
Density   1.84 g/cm3
Final energy   -2.68 eV/atom
Density of states at the Fermi level   1.163 states/eV per atom
Crystal system   cubic

abc: 7.5397 7.5397 7.5397
angles: 60.00 60.00 60.00
Last column: nearest neighbours and their distance in Å.
Sites, in units of the cell vectors:
Ca: 0.0000 0.0000 0.0000  12 Ca 3.77
Ca: 0.0000 0.0000 0.5000  10 Ca 3.77, 2 Mn 3.77
Ca: 0.0000 0.5000 0.0000  10 Ca 3.77, 2 Mn 3.77
Ca: 0.0000 0.5000 0.5000  2 Mn 3.77, 10 Ca 3.77
Ca: 0.5000 0.0000 0.0000  10 Ca 3.77, 2 Mn 3.77
Ca: 0.5000 0.0000 0.5000  2 Mn 3.77, 10 Ca 3.77
Ca: 0.5000 0.5000 0.0000  2 Mn 3.77, 10 Ca 3.77
Mn: 0.5000 0.5000 0.5000  12 Ca 3.77